P2PtRh | Alexandria | PBE | relaxed; SG = No. 119; ΔE to the lowest computed polymorph = 475.1 meV per atom; DOS at the Fermi energy = 1.8 states/eV/cell; calculated formation energy = 0.025 eV per atom
1.0
-1.822 1.822 4.276
1.822 -1.822 4.276
1.822 1.822 -4.276
P Pt Rh
2 1 1
Direct
0.000 0.000 0.000
0.750 0.250 0.500
0.250 0.750 0.500
0.500 0.500 0.000